# 1
Entry from Alexandria via LeMat-Bulk: crystalline Dy4TmSi4 at its relaxed geometry (GGA-PBE).

Computed properties:
The total DFT energy (no corrections) is -5.44 eV/atom.

Geometry as extended XYZ:
```
18
Lattice="5.784 0.000 0.000 0.000 8.879 0.000 0.000 0.000 8.879" Properties=species:S:1:pos:R:3 pbc="T T T"
Dy 2.152 2.864 8.093
Dy 5.044 5.225 7.303
Dy 2.152 6.015 0.785
Dy 0.740 1.575 5.225
Dy 3.632 8.093 6.015
Dy 0.740 7.303 3.654
Dy 5.044 3.654 1.575
Dy 3.632 0.785 2.864
Tm 0.000 0.000 0.000
Tm 2.892 4.439 4.439
Si 3.662 6.813 3.243
Si 3.662 2.065 5.635
Si 0.770 7.683 6.505
Si 5.015 2.374 7.683
Si 5.015 6.505 1.196
Si 2.123 3.243 2.065
Si 2.123 5.635 6.813
Si 0.770 1.196 2.374
```

# 2
Entry from Alexandria via LeMat-Bulk: crystalline Pr3CCl3 at its relaxed geometry (GGA-PBE).

Computed properties:
The total DFT energy (no corrections) is -5.66 eV/atom. As for the energy above the most stable polymorph in this dataset: 0 meV/atom.

Geometry as extended XYZ:
```
28
Lattice="9.188 0.000 -3.248 -4.594 7.957 -3.248 0.000 0.000 9.745" Properties=species:S:1:pos:R:3 pbc="T T T"
Pr 6.664 3.847 -2.436
Pr 4.594 0.262 0.812
Pr 2.221 0.131 3.847
Pr 5.591 5.968 -5.471
Pr 7.964 1.858 0.598
Pr 6.966 0.131 -2.223
Pr 4.594 3.717 0.812
Pr 3.596 5.968 -2.650
Pr 3.672 2.120 -2.436
Pr 1.224 1.858 1.026
Pr 5.516 2.120 4.060
Pr 2.524 3.847 4.060
C 4.594 3.978 -4.060
C 3.445 1.989 2.436
C 5.742 1.989 -0.812
C 0.000 0.000 2.436
Cl -2.324 7.910 5.608
Cl 3.418 6.015 2.359
Cl 1.067 5.920 5.685
Cl -1.094 1.989 8.856
Cl -1.067 5.920 -0.812
Cl 2.215 4.025 -0.812
Cl 1.094 1.989 5.761
Cl 0.000 4.073 2.436
Cl 2.324 7.910 -0.735
Cl -2.215 4.025 5.685
Cl -3.418 6.015 2.513
Cl 0.000 7.863 2.436
```

Number 1: D(E_F) 0.9661 states/eV/atom, uncorrected formation energy -421 kJ/mol of formula units. Number 2: D(E_F) 0.3370 states/eV/atom, uncorrected formation energy -1014 kJ/mol of formula units.